Below is a geometry-optimized In3ClF7 structure, with properties calculated at the GGA-PBE level.

Summary:
The volume is 21.28 Å³/atom. The density of states at the Fermi level comes out at 0.201 states/eV per atom. The value obtained for the uncorrected formation energy is -2.121 eV per atom.

Lattice parameters (Å, degrees): 7.1079 7.1079 5.3499 90.00 90.00 120.00
Space group P3m1 (No. 156)
Unique sites:
In (0.1699, 0.3398, 0.0000)
Cl (0.0000, 0.0000, 0.6860)
F (0.0489, 0.5244, 0.8125)
F (0.2828, 0.1414, 0.1728)
F (0.3333, 0.6667, 0.2104)

---

Below is a geometry-optimized In2ClF structure, with properties calculated at the GGA-PBE level.

Summary:
The volume is 27.59 Å³/atom. The calculation puts the energy above the lowest structure with this stoichiometry at 95 meV per atom. The value obtained for the uncorrected formation energy is -1.153 eV per atom.

Lattice parameters (Å, degrees): 4.0006 4.0006 23.8904 90.00 90.00 120.00
Space group R3m (No. 160, hexagonal axes)
Unique sites:
In (0.0000, 0.0000, 0.0000)
In (0.0000, 0.0000, 0.1901)
Cl (0.0000, 0.0000, 0.7426)
F (0.0000, 0.0000, 0.5704)

---

Below is a geometry-optimized InClF2 structure, with properties calculated at the GGA-PBE level.

Summary:
The volume is 18.36 Å³/atom. The calculation puts the energy above the lowest structure with this stoichiometry at 55 meV per atom. The density of states at the Fermi level comes out at 0.000 states/eV per atom. The value obtained for the uncorrected formation energy is -1.959 eV per atom.

Lattice parameters (Å, degrees): 5.482 5.495 5.958 106.90 96.87 116.59
Space group P1 (No. 1)
Unique sites:
In (0.000, 0.000, 0.000)
In (0.446, 0.841, 0.490)
Cl (0.539, 0.543, 0.719)
Cl (0.741, 0.159, 0.282)
F (0.114, 0.836, 0.252)
F (0.219, 0.904, 0.748)
F (0.337, 0.445, 0.192)
F (0.836, 0.166, 0.777)

---

Below is a geometry-optimized In4Cl2F structure, with properties calculated at the GGA-PBE level.

Summary:
The volume is 31.11 Å³/atom. The density of states at the Fermi level comes out at 0.354 states/eV per atom. The value obtained for the uncorrected formation energy is -0.699 eV per atom.

Lattice parameters (Å, degrees): 5.279 5.279 15.629 90.00 90.00 90.00
Space group I4/mmm (No. 139)
Unique sites:
In (0.000, 0.000, 0.173)
In (0.000, 0.500, 0.000)
Cl (0.000, 0.000, 0.367)
F (0.000, 0.000, 0.000)

---

Below is a geometry-optimized In3ClF3 structure, with properties calculated at the GGA-PBE level.

Summary:
The volume is 20.12 Å³/atom. The density of states at the Fermi level comes out at 0.364 states/eV per atom. The value obtained for the uncorrected formation energy is -1.581 eV per atom.

Lattice parameters (Å, degrees): 7.2149 7.2149 18.7529 90.00 90.00 120.00
Space group R-3 (No. 148, hexagonal axes)
Unique sites:
In (0.0309, 0.6277, 0.0863)
Cl (0.0000, 0.0000, 0.1488)
F (0.0514, 0.2607, 0.7010)

---

Below is a geometry-optimized InCl2F structure, with properties calculated at the GGA-PBE level.

Summary:
The volume is 16.78 Å³/atom. The calculation puts the energy above the lowest structure with this stoichiometry at 785 meV per atom. The density of states at the Fermi level comes out at 0.507 states/eV per atom. The value obtained for the uncorrected formation energy is -0.789 eV per atom.

Lattice parameters (Å, degrees): 6.452 6.452 6.452 90.00 90.00 90.00
Space group Fm-3m (No. 225)
Unique sites:
In (0.000, 0.000, 0.000)
Cl (0.250, 0.250, 0.250)
F (0.000, 0.000, 0.500)